VASP calculation (GGA-PBE) on crystalline ZrCo2Br at its relaxed geometry.

The structure in CIF format:
```
data_ZrCo2Br
_symmetry_space_group_name_H-M 'C 1 2/m 1'
_symmetry_Int_Tables_number 12
_cell_length_a 5.392
_cell_length_b 9.372
_cell_length_c 3.072
_cell_angle_alpha 90.00
_cell_angle_beta 123.10
_cell_angle_gamma 90.00
loop_
_symmetry_equiv_pos_as_xyz
'x,y,z'
'-x,-y,-z'
'-x,y,-z'
'x,-y,z'
'x+1/2,y+1/2,z'
'-x+1/2,-y+1/2,-z'
'-x+1/2,y+1/2,-z'
'x+1/2,-y+1/2,z'
loop_
_atom_site_label
_atom_site_type_symbol
_atom_site_fract_x
_atom_site_fract_y
_atom_site_fract_z
Zr1 Zr 0.000 0.000 0.000
Co1 Co 0.250 0.250 0.500
Br1 Br 0.000 0.500 0.000
```

Summary:
energy relative to the lowest polymorph listed for this composition = 0.528 eV/atom
E_form (uncorrected) = 417 meV per atom
size of the total moment = 4.938 μB/cell
DFT total energy = -5.691 eV per atom

VASP calculation (GGA-PBE) on crystalline ZrCoBr2 at its relaxed geometry.

The structure in CIF format:
```
data_ZrCoBr2
_symmetry_space_group_name_H-M 'I -4 m 2'
_symmetry_Int_Tables_number 119
_symmetry_space_group_name_Hall 'I -4 -2'
_cell_length_a 3.858
_cell_length_b 3.858
_cell_length_c 10.479
_cell_angle_alpha 90.00
_cell_angle_beta 90.00
_cell_angle_gamma 90.00
loop_
_atom_site_label
_atom_site_type_symbol
_atom_site_fract_x
_atom_site_fract_y
_atom_site_fract_z
Zr1 Zr 0.000 0.000 0.000
Co1 Co 0.000 0.500 0.250
Br1 Br 0.000 0.000 0.500
Br2 Br 0.000 0.500 0.750
```

Summary:
energy relative to the lowest polymorph listed for this composition = 0.699 eV/atom
E_form (uncorrected) = 237 meV per atom
size of the total moment = 1.757 μB/cell
DFT total energy = -4.513 eV per atom

VASP calculation (GGA-PBE) on crystalline Cr5Br4 at its relaxed geometry.

The structure in CIF format:
```
data_Cr5Br4
_symmetry_space_group_name_H-M 'I 4/m m m'
_symmetry_Int_Tables_number 139
_symmetry_space_group_name_Hall '-I 4 2'
_cell_length_a 11.539
_cell_length_b 11.539
_cell_length_c 3.408
_cell_angle_alpha 90.00
_cell_angle_beta 90.00
_cell_angle_gamma 90.00
loop_
_atom_site_label
_atom_site_type_symbol
_atom_site_fract_x
_atom_site_fract_y
_atom_site_fract_z
Cr1 Cr 0.000 0.000 0.000
Cr2 Cr 0.100 0.100 0.500
Br1 Br 0.000 0.262 0.000
```

Summary:
E_form (uncorrected) = 438 meV per atom
size of the total moment = 4.061 μB/cell
DFT total energy = -5.652 eV per atom